one.
This record from Alexandria describes an optimized crystal structure of MnRe2Br. The functional is PBE.

Cell lengths 3.636, 3.636, 5.334 Å; angles 90.00, 90.00, 90.00 degrees
Atoms (fractional coordinates):
Mn: 0.000 0.000 0.000
Re: 0.000 0.500 0.500
Re: 0.500 0.000 0.500
Br: 0.500 0.500 0.000

Summary:
The value obtained for the spin magnetization is 3.25 μB/cell.



two.
This record from Alexandria describes an optimized crystal structure of MnRe2Br. The functional is PBE.

Cell lengths 2.866, 4.652, 4.704 Å; angles 90.00, 90.00, 90.00 degrees
Atoms (fractional coordinates):
Mn: 0.000 0.000 0.000
Re: 0.000 0.500 0.500
Re: 0.500 0.000 0.500
Br: 0.500 0.500 0.000

Summary:
The value obtained for the spin magnetization is 2.63 μB/cell.



Energies in kJ/mol of atoms, measured from the most stable structure: one 25.1; two 0.0.



one.
This record from Alexandria describes an optimized crystal structure of MnRe2Br. The functional is PBE.

Cell lengths 6.713, 6.713, 6.713 Å; angles 132.21, 132.21, 69.89 degrees
Atoms (fractional coordinates):
Mn: 0.000 0.000 0.000
Mn: 0.750 0.250 0.500
Re: 0.086 0.625 0.961
Re: 0.375 0.336 0.461
Re: 0.664 0.125 0.039
Re: 0.875 0.914 0.539
Br: 0.250 0.750 0.500
Br: 0.500 0.500 0.000

Summary:
The value obtained for the spin magnetization is 0.00 μB/cell.



two.
This record from Alexandria describes an optimized crystal structure of MnRe2Br. The functional is PBE.

Cell lengths 4.452, 4.452, 2.986 Å; angles 90.00, 90.00, 90.00 degrees
Atoms (fractional coordinates):
Mn: 0.000 0.000 0.000
Re: 0.000 0.500 0.500
Re: 0.500 0.000 0.500
Br: 0.500 0.500 0.000

Summary:
The value obtained for the spin magnetization is 2.12 μB/cell.



Energies in kJ/mol of atoms, measured from the most stable structure: one 38.5; two 0.0.



one.
This record from Alexandria describes an optimized crystal structure of Mn2ReBr. The functional is PBE.

Cell lengths 3.012, 4.351, 5.263 Å; angles 90.00, 106.55, 90.00 degrees
Atoms (fractional coordinates):
Mn: 0.000 0.000 0.000
Mn: 0.136 0.500 0.273
Re: 0.693 0.000 0.388
Br: 0.867 0.500 0.737

Summary:
The value obtained for the spin magnetization is 5.86 μB/cell.



two.
This record from Alexandria describes an optimized crystal structure of Mn2ReBr. The functional is PBE.

Cell lengths 8.655, 8.655, 8.655 Å; angles 19.44, 19.44, 19.44 degrees
Atoms (fractional coordinates):
Mn: 0.000 0.000 0.000
Mn: 0.255 0.255 0.255
Re: 0.738 0.738 0.738
Br: 0.513 0.513 0.513

Summary:
The value obtained for the spin magnetization is 4.37 μB/cell.



three.
This record from Alexandria describes an optimized crystal structure of Mn2ReBr. The functional is PBE.

Cell lengths 5.099, 5.099, 5.099 Å; angles 145.82, 124.97, 66.39 degrees
Atoms (fractional coordinates):
Mn: 0.247 0.247 0.000
Mn: 0.753 0.753 0.000
Re: 0.500 0.000 0.500
Br: 0.000 0.500 0.500

Summary:
The value obtained for the spin magnetization is 5.42 μB/cell.



four.
This record from Alexandria describes an optimized crystal structure of Mn2ReBr. The functional is PBE.

Cell lengths 3.014, 3.057, 7.488 Å; angles 90.00, 90.00, 90.00 degrees
Atoms (fractional coordinates):
Mn: 0.000 0.000 0.208
Mn: 0.000 0.000 0.792
Re: 0.500 0.500 0.000
Br: 0.500 0.000 0.500

Summary:
The value obtained for the spin magnetization is 6.21 μB/cell.



Energies in kJ/mol of atoms, measured from the most stable structure: one 36.4; two 28.2; three 57.2; four 0.0.



one.
This record from Alexandria describes an optimized crystal structure of Mn2ReBr. The functional is PBE.

Cell lengths 4.718, 4.718, 4.718 Å; angles 128.53, 128.53, 75.78 degrees
Atoms (fractional coordinates):
Mn: 0.250 0.750 0.500
Mn: 0.750 0.250 0.500
Re: 0.000 0.000 0.000
Br: 0.500 0.500 0.000

Summary:
The value obtained for the spin magnetization is 5.93 μB/cell.



two.
This record from Alexandria describes an optimized crystal structure of Mn2ReBr. The functional is PBE.

Cell lengths 3.761, 3.761, 7.127 Å; angles 107.70, 107.70, 49.79 degrees
Atoms (fractional coordinates):
Mn: 0.000 0.000 0.000
Mn: 0.217 0.217 0.777
Re: 0.471 0.471 0.634
Br: 0.817 0.817 0.288

Summary:
The value obtained for the spin magnetization is 4.01 μB/cell.



Energies in kJ/mol of atoms, measured from the most stable structure: one 45.6; two 0.0.



one.
This record from Alexandria describes an optimized crystal structure of MnRe3Br. The functional is PBE.

Cell lengths 4.539, 4.539, 4.539 Å; angles 90.00, 90.00, 90.00 degrees
Atoms (fractional coordinates):
Mn: 0.000 0.000 0.000
Re: 0.000 0.500 0.500
Re: 0.500 0.000 0.500
Re: 0.500 0.500 0.000
Br: 0.500 0.500 0.500

Summary:
The value obtained for the spin magnetization is 3.01 μB/cell.



two.
This record from Alexandria describes an optimized crystal structure of MnRe3Br. The functional is PBE.

Cell lengths 4.518, 4.518, 4.518 Å; angles 90.00, 90.00, 90.00 degrees
Atoms (fractional coordinates):
Mn: 0.000 0.000 0.000
Re: 0.000 0.000 0.500
Re: 0.000 0.500 0.000
Re: 0.500 0.000 0.000
Br: 0.500 0.500 0.500

Summary:
The value obtained for the spin magnetization is 1.48 μB/cell.



Energies in kJ/mol of atoms, measured from the most stable structure: one 25.0; two 0.0.



one.
This record from Alexandria describes an optimized crystal structure of MnRhBr. The functional is PBE.

Cell lengths 4.335, 4.335, 3.196 Å; angles 90.00, 90.00, 120.00 degrees
Atoms (fractional coordinates):
Mn: 0.000 0.000 0.000
Rh: 0.667 0.333 0.459
Br: 0.333 0.667 0.555

Summary:
The value obtained for the spin magnetization is 4.62 μB/cell.



two.
This record from Alexandria describes an optimized crystal structure of MnRhBr. The functional is PBE.

Cell lengths 3.263, 3.263, 5.842 Å; angles 90.00, 90.00, 120.00 degrees
Atoms (fractional coordinates):
Mn: 0.000 0.000 0.000
Rh: 0.667 0.333 0.281
Br: 0.333 0.667 0.682

Summary:
The value obtained for the spin magnetization is 4.08 μB/cell.



Energies in kJ/mol of atoms, measured from the most stable structure: one 23.6; two 0.0.



one.
This record from Alexandria describes an optimized crystal structure of Mn2RuBr. The functional is PBE.

Cell lengths 3.040, 3.040, 6.891 Å; angles 90.00, 90.00, 90.00 degrees
Atoms (fractional coordinates):
Mn: 0.000 0.000 0.000
Mn: 0.500 0.500 0.233
Ru: 0.000 0.000 0.413
Br: 0.500 0.500 0.744

Summary:
The value obtained for the spin magnetization is 5.45 μB/cell.



two.
This record from Alexandria describes an optimized crystal structure of Mn2RuBr. The functional is PBE.

Cell lengths 4.504, 4.504, 4.504 Å; angles 60.00, 60.00, 60.00 degrees
Atoms (fractional coordinates):
Mn: 0.000 0.000 0.000
Mn: 0.250 0.250 0.250
Ru: 0.750 0.750 0.750
Br: 0.500 0.500 0.500

Summary:
The value obtained for the spin magnetization is 8.47 μB/cell.



Energies in kJ/mol of atoms, measured from the most stable structure: one 0.0; two 43.1.



one.
This record from Alexandria describes an optimized crystal structure of Mn2RuBr. The functional is PBE.

Cell lengths 4.241, 4.241, 4.241 Å; angles 60.00, 60.00, 60.00 degrees
Atoms (fractional coordinates):
Mn: 0.250 0.250 0.250
Mn: 0.750 0.750 0.750
Ru: 0.000 0.000 0.000
Br: 0.500 0.500 0.500

Summary:
The value obtained for the spin magnetization is 0.00 μB/cell.



two.
This record from Alexandria describes an optimized crystal structure of Mn2RuBr. The functional is PBE.

Cell lengths 4.559, 4.559, 4.842 Å; angles 98.29, 98.29, 38.85 degrees
Atoms (fractional coordinates):
Mn: 0.000 0.000 0.000
Mn: 0.250 0.250 0.756
Ru: 0.513 0.513 0.554
Br: 0.749 0.749 0.234

Summary:
The value obtained for the spin magnetization is 6.56 μB/cell.



Energies in kJ/mol of atoms, measured from the most stable structure: one 42.9; two 0.0.



one.
This record from Alexandria describes an optimized crystal structure of Mn2RuBr. The functional is PBE.

Cell lengths 5.261, 5.261, 5.261 Å; angles 137.83, 137.83, 61.16 degrees
Atoms (fractional coordinates):
Mn: 0.000 0.000 0.000
Mn: 0.750 0.250 0.500
Ru: 0.250 0.750 0.500
Br: 0.500 0.500 0.000

Summary:
The value obtained for the spin magnetization is 8.36 μB/cell.



two.
This record from Alexandria describes an optimized crystal structure of Mn2RuBr. The functional is PBE.

Cell lengths 6.430, 6.430, 6.430 Å; angles 152.31, 141.64, 47.96 degrees
Atoms (fractional coordinates):
Mn: 0.000 0.000 0.000
Mn: 0.657 0.157 0.500
Ru: 0.175 0.675 0.500
Br: 0.370 0.370 0.000

Summary:
The value obtained for the spin magnetization is 8.63 μB/cell.



Energies in kJ/mol of atoms, measured from the most stable structure: one 23.7; two 0.0.



one.
This record from Alexandria describes an optimized crystal structure of Mn2RuBr. The functional is PBE.

Cell lengths 4.582, 4.582, 3.143 Å; angles 90.00, 90.00, 90.00 degrees
Atoms (fractional coordinates):
Mn: 0.000 0.500 0.000
Mn: 0.500 0.000 0.000
Ru: 0.000 0.000 0.500
Br: 0.500 0.500 0.500

Summary:
The value obtained for the spin magnetization is 8.83 μB/cell.



two.
This record from Alexandria describes an optimized crystal structure of Mn2RuBr. The functional is PBE.

Cell lengths 3.045, 3.031, 7.162 Å; angles 90.00, 102.18, 90.00 degrees
Atoms (fractional coordinates):
Mn: 0.000 0.000 0.000
Mn: 0.386 0.500 0.770
Ru: 0.798 0.000 0.592
Br: 0.632 0.500 0.261

Summary:
The value obtained for the spin magnetization is 5.52 μB/cell.



Energies in kJ/mol of atoms, measured from the most stable structure: one 26.5; two 0.0.



one.
This record from Alexandria describes an optimized crystal structure of Mn3RuBr. The functional is PBE.

Cell lengths 4.846, 4.846, 4.846 Å; angles 90.00, 90.00, 90.00 degrees
Atoms (fractional coordinates):
Mn: 0.000 0.000 0.500
Mn: 0.000 0.500 0.000
Mn: 0.500 0.000 0.000
Ru: 0.000 0.000 0.000
Br: 0.500 0.500 0.500

Summary:
The value obtained for the spin magnetization is 12.76 μB/cell.



two.
This record from Alexandria describes an optimized crystal structure of Mn3RuBr. The functional is PBE.

Cell lengths 4.256, 4.256, 4.256 Å; angles 90.00, 90.00, 90.00 degrees
Atoms (fractional coordinates):
Mn: 0.000 0.000 0.500
Mn: 0.000 0.500 0.000
Mn: 0.500 0.000 0.000
Ru: 0.500 0.500 0.500
Br: 0.000 0.000 0.000

Summary:
The value obtained for the spin magnetization is 0.53 μB/cell.



Energies in kJ/mol of atoms, measured from the most stable structure: one 0.0; two 70.0.



one.
This record from Alexandria describes an optimized crystal structure of MnRuBr2. The functional is PBE.

Cell lengths 7.366, 7.366, 7.366 Å; angles 152.37, 147.31, 43.31 degrees
Atoms (fractional coordinates):
Mn: 0.000 0.000 0.000
Ru: 0.500 0.500 0.000
Br: 0.365 0.865 0.500
Br: 0.635 0.135 0.500

Summary:
The value obtained for the spin magnetization is 4.79 μB/cell.



two.
This record from Alexandria describes an optimized crystal structure of MnRuBr2. The functional is PBE.

Cell lengths 8.165, 8.165, 8.165 Å; angles 22.88, 22.88, 22.88 degrees
Atoms (fractional coordinates):
Mn: 0.000 0.000 0.000
Ru: 0.500 0.500 0.500
Br: 0.399 0.399 0.399
Br: 0.601 0.601 0.601

Summary:
The value obtained for the spin magnetization is 0.00 μB/cell.



Energies in kJ/mol of atoms, measured from the most stable structure: one 0.0; two 65.9.



one.
This record from Alexandria describes an optimized crystal structure of MnRuBr2. The functional is PBE.

Cell lengths 3.453, 3.453, 7.530 Å; angles 90.00, 90.00, 90.00 degrees
Atoms (fractional coordinates):
Mn: 0.000 0.000 0.000
Ru: 0.500 0.500 0.138
Br: 0.000 0.000 0.352
Br: 0.500 0.500 0.802

Summary:
The value obtained for the spin magnetization is 2.99 μB/cell.



two.
This record from Alexandria describes an optimized crystal structure of MnRuBr2. The functional is PBE.

Cell lengths 3.246, 4.198, 6.129 Å; angles 90.00, 90.00, 90.00 degrees
Atoms (fractional coordinates):
Mn: 0.000 0.000 0.000
Ru: 0.500 0.000 0.500
Br: 0.000 0.500 0.500
Br: 0.500 0.500 0.000

Summary:
The value obtained for the spin magnetization is 6.29 μB/cell.



Energies in kJ/mol of atoms, measured from the most stable structure: one 0.0; two 39.1.



one.
This record from Alexandria describes an optimized crystal structure of MnRuBr2. The functional is PBE.

Cell lengths 7.039, 7.039, 7.039 Å; angles 130.54, 130.54, 72.55 degrees
Atoms (fractional coordinates):
Mn: 0.000 0.000 0.000
Mn: 0.750 0.250 0.500
Ru: 0.250 0.750 0.500
Ru: 0.500 0.500 0.000
Br: 0.124 0.625 0.999
Br: 0.375 0.374 0.499
Br: 0.626 0.125 0.001
Br: 0.875 0.876 0.501

Summary:
The value obtained for the spin magnetization is 5.96 μB/cell.



two.
This record from Alexandria describes an optimized crystal structure of MnRuBr2. The functional is PBE.

Cell lengths 3.606, 3.606, 8.395 Å; angles 96.99, 96.99, 59.70 degrees
Atoms (fractional coordinates):
Mn: 0.000 0.000 0.000
Ru: 0.357 0.357 0.129
Br: 0.502 0.502 0.792
Br: 0.729 0.729 0.337

Summary:
The value obtained for the spin magnetization is 0.99 μB/cell.



Energies in kJ/mol of atoms, measured from the most stable structure: one 43.9; two 0.0.